No. 1
Computed, not measured: BeInCu after structural relaxation at the GGA-PBE level of DFT.

a = 5.370 Å, b = 5.370 Å, c = 5.370 Å
α = 147.61°, β = 147.61°, γ = 46.47°
Fractional coordinates of all 3 atoms:
Be 0.000 0.000 0.000
In 0.700 0.700 0.000
Cu 0.404 0.404 0.000

As for the formation energy from the elements: 0.27 eV/atom. For the total energy, the calculation gives -9.75 eV/cell. The calculation puts the spin magnetization at 0.0000 μB per atom. The energy above the most stable polymorph in this dataset comes out at 0.05 eV per formula unit. As for the space group: I4mm (107).


No. 2
Computed, not measured: CaNi2Pb2 after structural relaxation at the GGA-PBE level of DFT.

a = 8.045 Å, b = 8.045 Å, c = 3.268 Å
α = 90.00°, β = 90.00°, γ = 90.00°
Fractional coordinates of all 10 atoms:
Ca 0.000 0.000 0.000
Ca 0.500 0.500 0.000
Ni 0.146 0.354 0.500
Ni 0.354 0.854 0.500
Ni 0.646 0.146 0.500
Ni 0.854 0.646 0.500
Pb 0.144 0.644 0.000
Pb 0.356 0.144 0.000
Pb 0.644 0.856 0.000
Pb 0.856 0.356 0.000

As for the formation energy from the elements: 0.11 eV/atom. For the total energy, the calculation gives -40.86 eV/cell. The calculation puts the spin magnetization at 0.0000 μB per atom. The energy above the most stable polymorph in this dataset comes out at 0.91 eV per formula unit. As for the space group: P4/mbm (127).


No. 3
Computed, not measured: Na4Tl2SnSb2 after structural relaxation at the GGA-PBE level of DFT.

a = 8.599 Å, b = 8.599 Å, c = 5.052 Å
α = 106.89°, β = 106.89°, γ = 51.60°
Fractional coordinates of all 9 atoms:
Na 0.094 0.660 0.877
Na 0.340 0.906 0.123
Na 0.660 0.094 0.877
Na 0.906 0.340 0.123
Tl 0.352 0.352 0.351
Tl 0.648 0.648 0.649
Sn 0.000 0.000 0.500
Sb 0.209 0.209 0.710
Sb 0.791 0.791 0.290

For the total energy, the calculation gives -23.63 eV/cell. The calculation puts the spin magnetization at 0.0000 μB per atom. As for the space group: C2/m (12). For the formation energy without anion corrections, the calculation gives -0.152 eV per atom.